SrGeSCl2 (PBEsol, optimized geometry); formation energy without anion corrections = -1164 meV per atom
1.0
4.938 0.000 0.000
0.000 4.938 0.000
0.000 0.000 5.124
Sr Ge S Cl
1 1 1 2
Cartesian
0.000 0.000 0.000
2.469 2.469 2.562
2.469 2.469 0.000
0.000 2.469 2.562
2.469 0.000 2.562

---

Ba2Zn2Cd (PBEsol, optimized geometry); ΔH_f (0 K) = -0.126 eV/atom
1.0
7.815 0.000 0.000
0.000 7.815 0.000
0.000 0.000 4.899
Ba Zn Cd
4 4 2
Cartesian
1.468 2.439 0.000
2.439 6.347 0.000
5.376 1.468 0.000
6.347 5.376 0.000
0.886 4.793 2.449
3.022 0.886 2.449
4.793 6.929 2.449
6.929 3.022 2.449
0.000 0.000 2.449
3.908 3.908 2.449

---

Cs2SiPt (PBEsol, optimized geometry); formation energy without anion corrections = -117 meV per atom
1.0
-6.374 6.374 2.278
6.374 -6.374 2.278
6.374 6.374 -2.278
Cs Si Pt
4 2 2
Cartesian
-1.029 3.187 0.569
3.187 5.345 1.708
1.029 9.560 0.569
-3.187 7.402 1.708
6.374 0.000 1.139
0.000 0.000 2.278
0.000 0.000 0.000
0.000 6.374 1.139

---

AlZnCu2 (PBEsol, optimized geometry); ΔH_f (0 K) = -0.089 eV/atom
1.0
0.000 2.933 2.933
2.933 0.000 2.933
2.933 2.933 0.000
Al Zn Cu
1 1 2
Cartesian
0.000 0.000 0.000
1.466 1.466 1.466
2.933 2.933 2.933
4.399 4.399 4.399

---

LaIr (PBEsol, optimized geometry); ΔH_f (0 K) = -0.646 eV/atom
1.0
4.432 0.000 0.000
-2.216 3.839 0.000
0.000 0.000 5.690
La Ir
2 2
Cartesian
0.000 2.559 1.423
2.216 1.280 4.268
0.000 0.000 0.000
0.000 0.000 2.845

---

NaLiMgPO4F (PBEsol, optimized geometry); formation energy without anion corrections = -2635 meV per atom
1.0
6.820 0.000 0.000
0.000 11.210 0.000
-0.004 0.000 5.011
Na Li Mg P O F
4 4 4 4 16 4
Cartesian
0.077 1.856 1.233
0.074 3.749 3.738
6.741 7.461 1.273
6.739 9.354 3.778
1.606 0.889 3.698
1.609 4.716 1.193
5.207 6.494 3.818
5.209 10.321 1.312
3.278 1.915 1.321
3.276 3.691 3.827
3.539 7.520 1.184
3.537 9.296 3.690
1.724 6.524 3.648
1.726 10.292 1.143
5.090 0.919 3.868
5.092 4.687 1.363
0.270 7.003 3.813
0.272 9.813 1.307
1.917 0.469 1.804
1.914 5.136 4.309
2.066 6.426 2.130
2.063 10.389 4.636
2.666 7.536 4.349
2.668 9.280 1.844
4.147 1.931 3.167
4.149 3.675 0.661
4.752 0.821 0.375
4.750 4.784 2.881
4.901 6.074 0.701
4.899 10.741 3.207
6.544 1.397 3.704
6.546 4.208 1.198
2.040 2.368 4.820
2.042 3.237 2.314
4.774 7.973 2.696
4.776 8.842 0.191

---

K2SnCSe (PBEsol, optimized geometry); formation energy without anion corrections = 686 meV per atom
1.0
6.526 0.000 0.000
0.000 6.526 0.000
0.000 0.000 3.773
K Sn C Se
2 1 1 1
Cartesian
0.000 3.263 0.000
3.263 0.000 0.000
0.000 0.000 1.887
3.263 3.263 1.887
3.263 3.263 0.000

---

Ag24Pb5 (PBEsol, optimized geometry); ΔH_f (0 K) = 0.081 eV/atom
1.0
-5.126 5.126 5.126
5.126 -5.126 5.126
5.126 5.126 -5.126
Ag Pb
24 5
Cartesian
4.658 1.374 -1.374
4.658 -1.374 1.374
7.309 0.973 -0.973
7.309 -0.973 0.973
2.942 0.973 0.973
4.153 4.153 -2.183
4.153 -2.183 4.153
5.593 1.374 1.374
1.374 4.658 -1.374
1.374 -1.374 4.658
0.973 2.942 0.973
0.973 0.973 2.942
3.752 3.752 0.467
3.752 0.467 3.752
-1.374 4.658 1.374
-1.374 1.374 4.658
0.973 7.309 -0.973
0.973 -0.973 7.309
1.374 5.593 1.374
1.374 1.374 5.593
0.467 3.752 3.752
-0.973 7.309 0.973
-0.973 0.973 7.309
-2.183 4.153 4.153
0.000 0.000 0.000
1.894 1.894 -1.894
1.894 -1.894 1.894
-1.894 1.894 1.894
3.231 3.231 3.231

---

ScFeIr4 (PBEsol, optimized geometry); ΔH_f (0 K) = -0.098 eV/atom
1.0
0.000 3.621 3.621
3.621 0.000 3.621
3.621 3.621 0.000
Sc Fe Ir
1 1 4
Cartesian
0.000 0.000 0.000
1.810 1.810 1.810
4.525 2.716 2.716
2.716 4.525 2.716
2.716 2.716 4.525
4.525 4.525 4.525

---

Sc2OsCl (PBEsol, optimized geometry); formation energy without anion corrections = -856 meV per atom; offset from the most stable computed form = 100 meV/atom
1.0
3.137 0.000 0.000
0.000 3.137 0.000
0.000 0.000 7.431
Sc Os Cl
2 1 1
Cartesian
0.000 0.000 1.577
0.000 0.000 5.854
1.568 1.568 0.000
1.568 1.568 3.715

---

RbSrSb (PBEsol, optimized geometry); formation energy without anion corrections = -777 meV per atom
1.0
9.268 0.000 0.000
0.000 5.469 0.000
0.000 0.000 9.619
Rb Sr Sb
4 4 4
Cartesian
0.124 1.367 1.644
4.510 4.102 6.454
4.758 1.367 3.166
9.144 4.102 7.975
1.373 1.367 5.572
3.261 4.102 0.762
6.008 1.367 8.857
7.895 4.102 4.047
1.929 4.102 3.788
2.705 1.367 8.598
6.563 4.102 1.022
7.339 1.367 5.831

---

AgPt2PbN (PBEsol, optimized geometry); formation energy without anion corrections = 437 meV per atom
1.0
4.243 0.000 0.000
0.000 4.243 0.000
0.000 0.000 4.491
Ag Pt Pb N
1 2 1 1
Cartesian
0.000 0.000 0.000
0.000 2.121 2.246
2.121 0.000 2.246
2.121 2.121 0.000
0.000 0.000 2.246